Entry 1:
Entry from Alexandria: an optimized crystal structure of AlTe2Cl (PBE-GGA).

```
AlTe2Cl
1.0
-2.1045 2.1045 7.0743
2.1045 -2.1045 7.0743
2.1045 2.1045 -7.0743
Al Te Cl
1 2 1
direct
0.0000 0.0000 0.0000 Al
0.2500 0.7500 0.5000 Te
0.7500 0.2500 0.5000 Te
0.5000 0.5000 0.0000 Cl
```

Its space group is I4/mmm (139). The value obtained for the energy relative to the lowest polymorph listed for this composition is 12.53 kcal/mol of atoms.

Entry 2:
Entry from Alexandria: an optimized crystal structure of ZrAlPtRh (PBE-GGA).

```
ZrAlPtRh
1.0
0.0000 3.2111 3.2111
3.2111 0.0000 3.2111
3.2111 3.2111 0.0000
Zr Al Pt Rh
1 1 1 1
direct
0.0000 0.0000 0.0000 Zr
0.5000 0.5000 0.5000 Al
0.2500 0.2500 0.2500 Pt
0.7500 0.7500 0.7500 Rh
```

Its space group is F-43m (216). The value obtained for the energy relative to the lowest polymorph listed for this composition is 0.89 kcal/mol of atoms. The formation energy comes out at -0.9402 eV per atom.

Entry 3:
Entry from Alexandria: an optimized crystal structure of Zr3NbPb (PBE-GGA).

```
Zr3NbPb
1.0
5.3079 0.0000 0.0000
0.0000 5.3079 0.0000
0.0000 0.0000 5.3079
Zr Nb Pb
3 1 1
direct
0.0000 0.0000 0.5000 Zr
0.0000 0.5000 0.0000 Zr
0.5000 0.0000 0.0000 Zr
0.5000 0.5000 0.5000 Nb
0.0000 0.0000 0.0000 Pb
```

Its space group is Pm-3m (221). The value obtained for the energy relative to the lowest polymorph listed for this composition is 17.18 kcal/mol of atoms. The formation energy comes out at 1.4746 eV per atom.

Entry 4:
Entry from Alexandria: an optimized crystal structure of LaTe2O (PBE-GGA).

```
LaTe2O
1.0
2.4563 1.4181 7.1946
-2.4563 1.4181 7.1946
0.0000 -2.8362 7.1946
La Te O
1 2 1
direct
0.0000 0.0000 0.0000 La
0.4056 0.4056 0.4056 Te
0.5944 0.5944 0.5944 Te
0.5000 0.5000 0.5000 O
```

Its space group is R-3m (166).

no.,electronic total energy (eV per atom),DOS(E_F) (states/eV/cell)
1,-2.99,2.4
2,-7.36,3.8
3,-6.41,7.0
4,-4.81,3.6